1.
# RbCdAuS2, optimized geometry, DFT PBE-GGA
data_RbCdAuS2
_chemical_formula_sum 'Rb4 Cd4 Au4 S8'
_cell_length_a 13.903
_cell_length_b 5.786
_cell_length_c 7.157
_cell_angle_alpha 90.00
_cell_angle_beta 90.00
_cell_angle_gamma 90.00
_space_group_name_H-M_alt 'P c c a'
_space_group_IT_number 54
loop_
_space_group_symop_operation_xyz
'x,y,z'
'-x,-y,-z'
'-x+1/2,-y,z'
'x+1/2,y,-z'
'x+1/2,-y,-z+1/2'
'-x+1/2,y,z+1/2'
'-x,y,-z+1/2'
'x,-y,z+1/2'
loop_
_atom_site_label
_atom_site_fract_x
_atom_site_fract_y
_atom_site_fract_z
Rb1 0.000 0.211 0.250
Cd1 0.250 0.500 0.110
Au1 0.250 0.000 0.365
S1 0.138 0.301 0.862
# formation energy without anion corrections = -3.53 eV per formula unit
# volume = 575.67 Å³ per cell
# theoretical density = 5.3 Mg/m³

---

2.
# NdMo2C, optimized geometry, DFT PBE-GGA
data_NdMo2C
_chemical_formula_sum 'Nd3 Mo6 C3'
_cell_length_a 3.1661
_cell_length_b 3.1661
_cell_length_c 24.0748
_cell_angle_alpha 90.00
_cell_angle_beta 90.00
_cell_angle_gamma 120.00
_space_group_name_H-M_alt 'R -3 m'
_space_group_IT_number 166
_space_group_name_Hall '-R 3 2"'
loop_
_atom_site_label
_atom_site_fract_x
_atom_site_fract_y
_atom_site_fract_z
Nd1 0.0000 0.0000 0.0000
Mo1 0.0000 0.0000 0.1209
C1 0.0000 0.0000 0.5000
# calculated formation energy = 0.42 eV per atom
# volume = 209.00 Å³ per cell
# theoretical density = 8.3 Mg/m³

---

3.
# HfTi3H6, optimized geometry, DFT PBE-GGA
data_HfTi3H6
_chemical_formula_sum 'Hf2 Ti6 H12'
_cell_length_a 4.9343
_cell_length_b 4.9343
_cell_length_c 8.9660
_cell_angle_alpha 90.00
_cell_angle_beta 90.00
_cell_angle_gamma 120.00
_space_group_name_H-M_alt 'P 63 2 2'
_space_group_IT_number 182
_space_group_name_Hall 'P 6c 2c'
loop_
_atom_site_label
_atom_site_fract_x
_atom_site_fract_y
_atom_site_fract_z
Hf1 0.3333 0.6667 0.2500
Ti1 0.0000 0.0000 0.0000
Ti2 0.3333 0.6667 0.5682
H1 0.0644 0.3675 0.0978
# volume = 189.05 Å³ per cell
# theoretical density = 5.8 Mg/m³
# DFT total energy = -0.2053 Ha/atom

---

4.
# Pm4Pr4Nd5, optimized geometry, DFT PBE-GGA
data_Pm4Pr4Nd5
_chemical_formula_sum 'Pm8 Pr8 Nd10'
_cell_length_a 18.823
_cell_length_b 5.183
_cell_length_c 13.304
_cell_angle_alpha 90.00
_cell_angle_beta 134.90
_cell_angle_gamma 90.00
_space_group_name_H-M_alt 'C 1 2/m 1'
_space_group_IT_number 12
loop_
_space_group_symop_operation_xyz
'x,y,z'
'-x,-y,-z'
'-x,y,-z'
'x,-y,z'
'x+1/2,y+1/2,z'
'-x+1/2,-y+1/2,-z'
'-x+1/2,y+1/2,-z'
'x+1/2,-y+1/2,z'
loop_
_atom_site_label
_atom_site_fract_x
_atom_site_fract_y
_atom_site_fract_z
Pm1 0.154 0.000 0.385
Pm2 0.231 0.000 0.077
Pr1 0.077 0.000 0.694
Pr2 0.116 0.500 0.539
Nd1 0.000 0.000 0.000
Nd2 0.039 0.500 0.847
Nd3 0.192 0.500 0.230
# calculated formation energy = 0.01 eV per atom
# volume = 919.34 Å³ per cell
# theoretical density = 6.7 Mg/m³

---

5.
# BaCd3, optimized geometry, DFT PBE-GGA
data_BaCd3
_chemical_formula_sum 'Ba1 Cd3'
_cell_length_a 4.6215
_cell_length_b 4.6215
_cell_length_c 7.7541
_cell_angle_alpha 90.00
_cell_angle_beta 90.00
_cell_angle_gamma 120.00
_space_group_name_H-M_alt 'P -6 m 2'
_space_group_IT_number 187
_space_group_name_Hall 'P -6 2'
loop_
_atom_site_label
_atom_site_fract_x
_atom_site_fract_y
_atom_site_fract_z
Ba1 0.0000 0.0000 0.0000
Cd1 0.0000 0.0000 0.5000
Cd2 0.6667 0.3333 0.3054
# calculated formation energy = -0.06 eV per atom
# volume = 143.42 Å³ per cell
# theoretical density = 5.5 Mg/m³

---

6.
# Nd12Sm6Cd, optimized geometry, DFT PBE-GGA
data_Nd12Sm6Cd
_chemical_formula_sum 'Nd36 Sm18 Cd3'
_cell_length_a 12.1716
_cell_length_b 12.1716
_cell_length_c 15.3573
_cell_angle_alpha 90.00
_cell_angle_beta 90.00
_cell_angle_gamma 120.00
_space_group_name_H-M_alt 'R -3'
_space_group_IT_number 148
_space_group_name_Hall '-R 3'
loop_
_atom_site_label
_atom_site_fract_x
_atom_site_fract_y
_atom_site_fract_z
Nd1 0.0084 0.8317 0.3132
Nd2 0.0486 0.2000 0.9157
Sm1 0.0218 0.5917 0.1898
Cd1 0.0000 0.0000 0.5000
# calculated formation energy = 0.09 eV per atom
# volume = 1970.35 Å³ per cell
# theoretical density = 6.9 Mg/m³

---

7.
# NdGd2Pb, optimized geometry, DFT PBE-GGA
data_NdGd2Pb
_chemical_formula_sum 'Nd1 Gd2 Pb1'
_cell_length_a 4.934
_cell_length_b 4.934
_cell_length_c 4.933
_cell_angle_alpha 90.00
_cell_angle_beta 90.00
_cell_angle_gamma 90.00
_space_group_name_H-M_alt 'P 4/m m m'
_space_group_IT_number 123
_space_group_name_Hall '-P 4 2'
loop_
_atom_site_label
_atom_site_fract_x
_atom_site_fract_y
_atom_site_fract_z
Nd1 0.000 0.000 0.000
Gd1 0.000 0.500 0.500
Pb1 0.500 0.500 0.000
# calculated formation energy = -0.33 eV per atom
# volume = 120.12 Å³ per cell
# theoretical density = 9.2 Mg/m³

---

8.
# V2Te2WSe4, optimized geometry, DFT PBE-GGA
data_V2Te2WSe4
_chemical_formula_sum 'V2 Te2 W1 Se4'
_cell_length_a 3.4182
_cell_length_b 3.4182
_cell_length_c 22.1234
_cell_angle_alpha 90.00
_cell_angle_beta 90.00
_cell_angle_gamma 120.00
_space_group_name_H-M_alt 'P 3 m 1'
_space_group_IT_number 156
loop_
_space_group_symop_operation_xyz
'x,y,z'
'-y,x-y,z'
'-x+y,-x,z'
'-y,-x,z'
'-x+y,y,z'
'x,x-y,z'
loop_
_atom_site_label
_atom_site_fract_x
_atom_site_fract_y
_atom_site_fract_z
V1 0.0000 0.0000 0.0000
V2 0.3333 0.6667 0.3107
Te1 0.0000 0.0000 0.5862
Te2 0.0000 0.0000 0.7561
W1 0.3333 0.6667 0.6711
Se1 0.0000 0.0000 0.2393
Se2 0.0000 0.0000 0.3823
Se3 0.3333 0.6667 0.0714
Se4 0.3333 0.6667 0.9284
# formation energy without anion corrections = -4.35 eV per formula unit
# volume = 223.86 Å³ per cell
# theoretical density = 6.4 Mg/m³

---

9.
# Y2Si6Pt21, optimized geometry, DFT PBE-GGA
data_Y2Si6Pt21
_chemical_formula_sum 'Y8 Si24 Pt84'
_cell_length_a 12.317
_cell_length_b 12.317
_cell_length_c 12.317
_cell_angle_alpha 90.00
_cell_angle_beta 90.00
_cell_angle_gamma 90.00
_space_group_name_H-M_alt 'F m -3 m'
_space_group_IT_number 225
_space_group_name_Hall '-F 4 2 3'
loop_
_atom_site_label
_atom_site_fract_x
_atom_site_fract_y
_atom_site_fract_z
Y1 0.250 0.250 0.250
Si1 0.000 0.000 0.234
Pt1 0.000 0.000 0.500
Pt2 0.000 0.173 0.327
Pt3 0.116 0.116 0.116
# formation energy without anion corrections = -19.48 eV per formula unit
# volume = 1868.42 Å³ per cell
# theoretical density = 15.8 Mg/m³

---

10.
# Mn2FeSi4, optimized geometry, DFT PBE-GGA
data_Mn2FeSi4
_chemical_formula_sum 'Mn4 Fe2 Si8'
_cell_length_a 4.312
_cell_length_b 4.312
_cell_length_c 11.593
_cell_angle_alpha 90.00
_cell_angle_beta 90.00
_cell_angle_gamma 90.00
_space_group_name_H-M_alt 'I 4/m m m'
_space_group_IT_number 139
_space_group_name_Hall '-I 4 2'
loop_
_atom_site_label
_atom_site_fract_x
_atom_site_fract_y
_atom_site_fract_z
Mn1 0.000 0.000 0.107
Fe1 0.000 0.000 0.500
Si1 0.000 0.000 0.307
Si2 0.000 0.500 0.000
# formation energy without anion corrections = 2.33 eV per formula unit
# volume = 215.53 Å³ per cell
# theoretical density = 4.3 Mg/m³

---

11.
# NdFeN2, optimized geometry, DFT PBE-GGA
data_NdFeN2
_chemical_formula_sum 'Nd3 Fe3 N6'
_cell_length_a 5.4754
_cell_length_b 5.4754
_cell_length_c 6.3069
_cell_angle_alpha 90.00
_cell_angle_beta 90.00
_cell_angle_gamma 120.00
_space_group_name_H-M_alt 'P 31 2 1'
_space_group_IT_number 152
loop_
_space_group_symop_operation_xyz
'x,y,z'
'-y,x-y,z+1/3'
'-x+y,-x,z+2/3'
'y,x,-z'
'x-y,-y,-z+2/3'
'-x,-x+y,-z+1/3'
loop_
_atom_site_label
_atom_site_fract_x
_atom_site_fract_y
_atom_site_fract_z
Nd1 0.0000 0.6505 0.1667
Fe1 0.0000 0.5869 0.6667
N1 0.1228 0.4291 0.8747
# formation energy without anion corrections = -2.88 eV per formula unit
# volume = 163.75 Å³ per cell
# theoretical density = 6.9 Mg/m³

---

12.
# Ni2MoPb, optimized geometry, DFT PBE-GGA
data_Ni2MoPb
_chemical_formula_sum 'Ni4 Mo2 Pb2'
_cell_length_a 8.436
_cell_length_b 2.997
_cell_length_c 5.173
_cell_angle_alpha 90.00
_cell_angle_beta 97.74
_cell_angle_gamma 90.00
_space_group_name_H-M_alt 'C 1 2/m 1'
_space_group_IT_number 12
loop_
_space_group_symop_operation_xyz
'x,y,z'
'-x,-y,-z'
'-x,y,-z'
'x,-y,z'
'x+1/2,y+1/2,z'
'-x+1/2,-y+1/2,-z'
'-x+1/2,y+1/2,-z'
'x+1/2,-y+1/2,z'
loop_
_atom_site_label
_atom_site_fract_x
_atom_site_fract_y
_atom_site_fract_z
Ni1 0.238 0.000 0.189
Mo1 0.000 0.500 0.000
Pb1 0.000 0.000 0.500
# calculated formation energy = 0.39 eV per atom
# volume = 129.61 Å³ per cell
# theoretical density = 10.8 Mg/m³

---

13.
# RbBeTlCu2, optimized geometry, DFT PBE-GGA
data_RbBeTlCu2
_chemical_formula_sum 'Rb1 Be1 Tl1 Cu2'
_cell_length_a 5.188
_cell_length_b 5.188
_cell_length_c 4.694
_cell_angle_alpha 90.00
_cell_angle_beta 90.00
_cell_angle_gamma 90.00
_space_group_name_H-M_alt 'P 4/m m m'
_space_group_IT_number 123
_space_group_name_Hall '-P 4 2'
loop_
_atom_site_label
_atom_site_fract_x
_atom_site_fract_y
_atom_site_fract_z
Rb1 0.000 0.000 0.000
Be1 0.500 0.500 0.000
Tl1 0.500 0.500 0.500
Cu1 0.000 0.500 0.500
# calculated formation energy = 0.66 eV per atom
# volume = 126.35 Å³ per cell
# theoretical density = 5.6 Mg/m³

---

14.
# Pm3Th2PaN6, optimized geometry, DFT PBE-GGA
data_Pm3Th2PaN6
_chemical_formula_sum 'Pm6 Th4 Pa2 N12'
_cell_length_a 6.268
_cell_length_b 10.863
_cell_length_c 6.241
_cell_angle_alpha 90.00
_cell_angle_beta 109.55
_cell_angle_gamma 90.00
_space_group_name_H-M_alt 'C 1 2/m 1'
_space_group_IT_number 12
loop_
_space_group_symop_operation_xyz
'x,y,z'
'-x,-y,-z'
'-x,y,-z'
'x,-y,z'
'x+1/2,y+1/2,z'
'-x+1/2,-y+1/2,-z'
'-x+1/2,y+1/2,-z'
'x+1/2,-y+1/2,z'
loop_
_atom_site_label
_atom_site_fract_x
_atom_site_fract_y
_atom_site_fract_z
Pm1 0.000 0.000 0.000
Pm2 0.000 0.334 0.000
Th1 0.000 0.167 0.500
Pa1 0.000 0.500 0.500
N1 0.235 0.342 0.729
N2 0.240 0.500 0.270
# formation energy without anion corrections = -18.78 eV per formula unit
# volume = 400.41 Å³ per cell
# theoretical density = 10.1 Mg/m³

---

15.
# EuTmSb, optimized geometry, DFT PBE-GGA
data_EuTmSb
_chemical_formula_sum 'Eu1 Tm1 Sb1'
_cell_length_a 5.0917
_cell_length_b 5.0917
_cell_length_c 4.3136
_cell_angle_alpha 90.00
_cell_angle_beta 90.00
_cell_angle_gamma 120.00
_space_group_name_H-M_alt 'P 3 m 1'
_space_group_IT_number 156
loop_
_space_group_symop_operation_xyz
'x,y,z'
'-y,x-y,z'
'-x+y,-x,z'
'-y,-x,z'
'-x+y,y,z'
'x,x-y,z'
loop_
_atom_site_label
_atom_site_fract_x
_atom_site_fract_y
_atom_site_fract_z
Eu1 0.0000 0.0000 0.0000
Tm1 0.3333 0.6667 0.4873
Sb1 0.6667 0.3333 0.5532
# formation energy without anion corrections = -1.54 eV per formula unit
# volume = 96.85 Å³ per cell
# theoretical density = 7.6 Mg/m³

---

16.
# NpAlN, optimized geometry, DFT PBE-GGA
data_NpAlN
_chemical_formula_sum 'Np2 Al2 N2'
_cell_length_a 3.481
_cell_length_b 3.481
_cell_length_c 8.318
_cell_angle_alpha 90.00
_cell_angle_beta 90.00
_cell_angle_gamma 90.00
_space_group_name_H-M_alt 'P 4/n m m'
_space_group_IT_number 129
loop_
_space_group_symop_operation_xyz
'x,y,z'
'-x,-y,-z'
'-y+1/2,x,z'
'y+1/2,-x,-z'
'-x+1/2,-y+1/2,z'
'x+1/2,y+1/2,-z'
'y,-x+1/2,z'
'-y,x+1/2,-z'
'x+1/2,-y,-z'
'-x+1/2,y,z'
'-y,-x,-z'
'y,x,z'
'-x,y+1/2,-z'
'x,-y+1/2,z'
'y+1/2,x+1/2,-z'
'-y+1/2,-x+1/2,z'
loop_
_atom_site_label
_atom_site_fract_x
_atom_site_fract_y
_atom_site_fract_z
Np1 0.250 0.250 0.155
Al1 0.250 0.750 0.500
N1 0.250 0.250 0.893
# formation energy without anion corrections = -1.28 eV per formula unit
# volume = 100.80 Å³ per cell
# theoretical density = 9.2 Mg/m³

---

17.
# SrTmTlF6, optimized geometry, DFT PBE-GGA
data_SrTmTlF6
_chemical_formula_sum 'Sr4 Tm4 Tl4 F24'
_cell_length_a 7.949
_cell_length_b 8.028
_cell_length_c 11.123
_cell_angle_alpha 90.00
_cell_angle_beta 90.00
_cell_angle_gamma 90.00
_space_group_name_H-M_alt 'I m m a'
_space_group_IT_number 74
_space_group_name_Hall '-I 2b 2'
loop_
_atom_site_label
_atom_site_fract_x
_atom_site_fract_y
_atom_site_fract_z
Sr1 0.250 0.250 0.250
Tm1 0.000 0.000 0.000
Tl1 0.000 0.250 0.624
F1 0.000 0.250 0.074
F2 0.000 0.250 0.370
F3 0.192 0.024 0.869
# formation energy without anion corrections = -31.39 eV per formula unit
# volume = 709.82 Å³ per cell
# theoretical density = 5.4 Mg/m³